Record 1
ZnAgPd3 | Alexandria via LeMat-Bulk | PBE-GGA | relaxed; V = 23.65 A^3/atom; relative energy among the computed polymorphs = 1272 meV per atom; total energy = -2.928 eV/atom; ρ = 6.917 g/cm3; SG = Pm-3m, No. 221
1.0
-1.102 -3.016 -3.712
4.719 -1.306 -0.340
-0.779 -3.645 3.193
Pd Ag Zn
3 1 1
direct
0.500 0.000 0.000
0.000 0.000 0.500
0.000 0.500 0.000
0.000 0.000 0.000
0.500 0.500 0.500

Record 2
Zn2AgPd8 | Alexandria via LeMat-Bulk | PBE-GGA | relaxed; V = 15.29 A^3/atom; relative energy among the computed polymorphs = 0 meV per atom; total energy = -4.508 eV/atom; ρ = 10.763 g/cm3; SG = C2/m, No. 12
1.0
-1.579 -1.195 3.471
5.768 -1.612 2.068
-0.350 7.255 0.038
Zn Pd Ag
2 8 1
direct
0.775 0.352 0.550
0.225 0.648 0.450
0.318 0.083 0.636
0.954 0.274 0.907
0.682 0.917 0.364
0.855 0.796 0.709
0.599 0.465 0.198
0.046 0.726 0.093
0.401 0.535 0.802
0.145 0.204 0.291
0.500 0.000 0.000

Record 3
ZnAg5Pd4 | Alexandria via LeMat-Bulk | PBE-GGA | relaxed; V = 17.72 A^3/atom; total energy = -3.662 eV/atom; ρ = 9.658 g/cm3; SG = C2/m, No. 12
1.0
-0.204 4.021 1.166
-0.267 1.861 -6.467
-6.025 -3.328 2.889
Ag Pd Zn
5 4 1
direct
0.500 0.500 0.000
0.809 0.746 0.617
0.156 0.627 0.313
0.191 0.254 0.383
0.844 0.373 0.687
0.328 0.058 0.657
0.018 0.807 0.036
0.672 0.942 0.343
0.982 0.193 0.964
0.500 0.000 0.000

no.,calculated formation energy (eV per atom)
1,1.0127
2,-0.2408
3,-0.0323